No. 1
VASP calculation (PBE-GGA) on crystalline Fe2GeCl8 at its relaxed geometry.

Cell lengths 7.765, 7.765, 6.299 Å; angles 95.62, 95.62, 74.25 degrees
Sites, in units of the cell vectors:
Fe  0.195  0.195  0.147
Fe  0.805  0.805  0.853
Ge  0.000  0.000  0.500
Cl  0.079  0.713  0.727
Cl  0.180  0.180  0.790
Cl  0.287  0.921  0.273
Cl  0.365  0.365  0.269
Cl  0.635  0.635  0.731
Cl  0.713  0.079  0.727
Cl  0.820  0.820  0.210
Cl  0.921  0.287  0.273

The value obtained for the total energy is -44.78 eV for the cell shown. Its crystal system is monoclinic. The value obtained for the magnetic moment is 10.00 μB/f.u. The raw formation energy is -0.77 eV per atom.

---

No. 2
VASP calculation (PBE-GGA) on crystalline FeGeCl3 at its relaxed geometry.

Cell lengths 4.640, 4.640, 4.640 Å; angles 90.00, 90.00, 90.00 degrees
Sites, in units of the cell vectors:
Fe  0.000  0.000  0.000
Ge  0.500  0.500  0.500
Cl  0.000  0.000  0.500
Cl  0.000  0.500  0.000
Cl  0.500  0.000  0.000

The excess energy over the best structure of this formula in the dataset is 0.0 kJ/mol of atoms. The value obtained for the total energy is -19.11 eV for the cell shown. Its crystal system is cubic. The value obtained for the magnetic moment is 3.74 μB/f.u. The raw formation energy is -0.10 eV per atom.

---

No. 3
VASP calculation (PBE-GGA) on crystalline Fe3GeCl at its relaxed geometry.

Cell lengths 4.209, 4.209, 4.209 Å; angles 90.00, 90.00, 90.00 degrees
Sites, in units of the cell vectors:
Fe  0.000  0.000  0.500
Fe  0.000  0.500  0.000
Fe  0.500  0.000  0.000
Ge  0.500  0.500  0.500
Cl  0.000  0.000  0.000

The excess energy over the best structure of this formula in the dataset is 0.0 kJ/mol of atoms. The value obtained for the total energy is -27.83 eV for the cell shown. Its crystal system is cubic. The value obtained for the magnetic moment is 5.74 μB/f.u. The raw formation energy is 0.80 eV per atom.

---

No. 4
VASP calculation (PBE-GGA) on crystalline FeGePCl2 at its relaxed geometry.

Cell lengths 4.484, 4.484, 4.661 Å; angles 90.00, 90.00, 90.00 degrees
Sites, in units of the cell vectors:
Fe  0.000  0.000  0.000
Ge  0.500  0.500  0.500
P  0.000  0.000  0.500
Cl  0.000  0.500  0.000
Cl  0.500  0.000  0.000

The excess energy over the best structure of this formula in the dataset is 0.0 kJ/mol of atoms. The value obtained for the total energy is -20.98 eV for the cell shown. Its crystal system is tetragonal. The value obtained for the magnetic moment is 2.71 μB/f.u. The raw formation energy is 0.24 eV per atom.

---

No. 5
VASP calculation (PBE-GGA) on crystalline FeGePCl2 at its relaxed geometry.

Cell lengths 4.824, 4.824, 5.007 Å; angles 90.00, 90.00, 90.00 degrees
Sites, in units of the cell vectors:
Fe  0.000  0.000  0.000
Ge  0.500  0.500  0.500
P  0.500  0.500  0.000
Cl  0.000  0.500  0.500
Cl  0.500  0.000  0.500

The excess energy over the best structure of this formula in the dataset is 34.6 kJ/mol of atoms. The value obtained for the total energy is -19.19 eV for the cell shown. Its crystal system is tetragonal. The value obtained for the magnetic moment is 3.96 μB/f.u. The raw formation energy is 0.60 eV per atom.

---

No. 6
VASP calculation (PBE-GGA) on crystalline FeGeS2Cl at its relaxed geometry.

Cell lengths 4.530, 4.530, 4.620 Å; angles 90.00, 90.00, 90.00 degrees
Sites, in units of the cell vectors:
Fe  0.000  0.000  0.000
Ge  0.500  0.500  0.500
S  0.000  0.500  0.000
S  0.500  0.000  0.000
Cl  0.000  0.000  0.500

The excess energy over the best structure of this formula in the dataset is 0.0 kJ/mol of atoms. The value obtained for the total energy is -22.66 eV for the cell shown. Its crystal system is tetragonal. The value obtained for the magnetic moment is 3.25 μB/f.u. The raw formation energy is 0.10 eV per atom.

---

No. 7
VASP calculation (PBE-GGA) on crystalline FeGeSCl2 at its relaxed geometry.

Cell lengths 4.672, 4.672, 4.709 Å; angles 90.00, 90.00, 90.00 degrees
Sites, in units of the cell vectors:
Fe  0.000  0.000  0.000
Ge  0.500  0.500  0.500
S  0.000  0.000  0.500
Cl  0.000  0.500  0.000
Cl  0.500  0.000  0.000

The excess energy over the best structure of this formula in the dataset is 0.0 kJ/mol of atoms. The value obtained for the total energy is -21.05 eV for the cell shown. Its crystal system is tetragonal. The value obtained for the magnetic moment is 3.21 μB/f.u. The raw formation energy is -0.03 eV per atom.

---

No. 8
VASP calculation (PBE-GGA) on crystalline FeGeSCl2 at its relaxed geometry.

Cell lengths 4.895, 4.895, 4.915 Å; angles 90.00, 90.00, 90.00 degrees
Sites, in units of the cell vectors:
Fe  0.000  0.000  0.000
Ge  0.500  0.500  0.500
S  0.500  0.500  0.000
Cl  0.000  0.500  0.500
Cl  0.500  0.000  0.500

The excess energy over the best structure of this formula in the dataset is 35.7 kJ/mol of atoms. The value obtained for the total energy is -19.21 eV for the cell shown. Its crystal system is tetragonal. The value obtained for the magnetic moment is 3.68 μB/f.u. The raw formation energy is 0.34 eV per atom.

---

No. 9
VASP calculation (PBE-GGA) on crystalline FeSn2GeCl at its relaxed geometry.

Cell lengths 4.996, 4.996, 4.495 Å; angles 90.00, 90.00, 90.00 degrees
Sites, in units of the cell vectors:
Fe  0.000  0.000  0.000
Sn  0.000  0.500  0.000
Sn  0.500  0.000  0.000
Ge  0.000  0.000  0.500
Cl  0.500  0.500  0.500

The value obtained for the total energy is -23.81 eV for the cell shown. Its crystal system is tetragonal. The value obtained for the magnetic moment is 0.76 μB/f.u. The raw formation energy is -0.18 eV per atom.

---

No. 10
VASP calculation (PBE-GGA) on crystalline FeSnGe2Cl at its relaxed geometry.

Cell lengths 4.527, 4.527, 5.061 Å; angles 90.00, 90.00, 90.00 degrees
Sites, in units of the cell vectors:
Fe  0.000  0.000  0.000
Sn  0.000  0.000  0.500
Ge  0.000  0.500  0.000
Ge  0.500  0.000  0.000
Cl  0.500  0.500  0.500

The value obtained for the total energy is -24.27 eV for the cell shown. Its crystal system is tetragonal. The value obtained for the magnetic moment is 0.47 μB/f.u. The raw formation energy is -0.14 eV per atom.

---

No. 11
VASP calculation (PBE-GGA) on crystalline TlFeGe2Cl8 at its relaxed geometry.

Cell lengths 6.567, 6.724, 8.346 Å; angles 89.41, 89.64, 61.20 degrees
Sites, in units of the cell vectors:
Tl  0.000  0.000  0.000
Fe  0.000  0.000  0.500
Ge  0.338  0.333  0.656
Ge  0.662  0.667  0.344
Cl  0.052  0.703  0.342
Cl  0.253  0.056  0.342
Cl  0.297  0.758  0.661
Cl  0.338  0.328  0.928
Cl  0.662  0.672  0.072
Cl  0.703  0.242  0.339
Cl  0.747  0.944  0.658
Cl  0.948  0.297  0.658

The value obtained for the total energy is -43.67 eV for the cell shown. Its crystal system is triclinic. The value obtained for the magnetic moment is 1.00 μB/f.u. The raw formation energy is -0.74 eV per atom.

---

No. 12
VASP calculation (PBE-GGA) on crystalline Tl2FeGeCl6 at its relaxed geometry.

Cell lengths 7.165, 7.165, 7.165 Å; angles 60.78, 60.78, 60.78 degrees
Sites, in units of the cell vectors:
Tl  0.248  0.248  0.248
Tl  0.752  0.752  0.752
Fe  0.000  0.000  0.000
Ge  0.500  0.500  0.500
Cl  0.190  0.762  0.291
Cl  0.238  0.709  0.810
Cl  0.291  0.190  0.762
Cl  0.709  0.810  0.238
Cl  0.762  0.291  0.190
Cl  0.810  0.238  0.709

The value obtained for the total energy is -37.22 eV for the cell shown. Its crystal system is trigonal. The value obtained for the magnetic moment is 4.00 μB/f.u. The raw formation energy is -0.83 eV per atom.

---

Look up the magnetic moment of the tenth one.
0.47 μB/f.u.

---

Which formula does entry 9 have?
FeSn2GeCl

---

Among the records above, which one has the highest raw formation energy?
Fe3GeCl

---

The lowest total energy belongs to which entry?
Fe2GeCl8